A plane-wave DFT calculation with GGA-PBE was carried out for ZrNiSn3 after structural relaxation.

Calculated values
formation energy from the elements = 0.2802 eV per atom
polymorph energy (0 for the lowest one) = 0 meV/atom

Cell lengths 4.934, 4.934, 4.934 Å; angles 90.00, 90.00, 90.00 degrees
Positions (direct):
Ni 0.000 0.000 0.000
Sn 0.000 0.500 0.000
Sn 0.000 0.000 0.500
Sn 0.500 0.000 0.000
Zr 0.500 0.500 0.500